Record 1
An optimized crystal structure of TaTlCuTeSe2. Source: the Open Quantum Materials Database, functional PBE.

Unit cell a=8.1182 b=8.1182 c=10.2890 alpha=90.00 beta=90.00 gamma=153.79
Atoms (fractional coordinates):
Cu1 0.9622 0.0378 0.2500
Cu2 0.0378 0.9622 0.7500
Se1 0.8850 0.1150 0.0498
Se2 0.8850 0.1150 0.4502
Se3 0.1150 0.8850 0.5498
Se4 0.1150 0.8850 0.9502
Ta1 0.5000 0.5000 0.0000
Ta2 0.5000 0.5000 0.5000
Te1 0.5799 0.4201 0.2500
Te2 0.4201 0.5799 0.7500
Tl1 0.2675 0.7325 0.2500
Tl2 0.7325 0.2675 0.7500

Calculated total energy ... -5.05 eV/atom
Crystal system ... orthorhombic
SG ... No. 63


Record 2
An optimized crystal structure of Nd3Tm2Pb3. Source: the Open Quantum Materials Database, functional PBE.

Unit cell a=9.2196 b=9.2196 c=6.6944 alpha=90.00 beta=90.00 gamma=120.00
Atoms (fractional coordinates):
Nd1 0.2405 0.0000 0.2500
Nd2 0.0000 0.2405 0.2500
Nd3 0.7595 0.7595 0.2500
Nd4 0.7595 0.0000 0.7500
Nd5 0.2405 0.2405 0.7500
Nd6 0.0000 0.7595 0.7500
Pb1 0.6016 0.0000 0.2500
Pb2 0.3984 0.3984 0.2500
Pb3 0.0000 0.6016 0.2500
Pb4 0.3984 0.0000 0.7500
Pb5 0.0000 0.3984 0.7500
Pb6 0.6016 0.6016 0.7500
Tm1 0.6667 0.3333 0.0000
Tm2 0.3333 0.6667 0.0000
Tm3 0.6667 0.3333 0.5000
Tm4 0.3333 0.6667 0.5000

Calculated total energy ... -4.83 eV/atom
Crystal system ... hexagonal
SG ... No. 193


Record 3
An optimized crystal structure of HoRe. Source: the Open Quantum Materials Database, functional PBE.

Unit cell a=4.0338 b=4.0338 c=4.0338 alpha=60.00 beta=60.00 gamma=60.00
Each line ends with the local moment (μB).
Atoms (fractional coordinates):
Ho1 0.0000 0.0000 0.0000  0.02
Re1 0.5000 0.5000 0.5000  0.29

Calculated total energy ... -7.13 eV/atom
Crystal system ... cubic
ΔE_f ... 1.369 eV per atom
SG ... No. 225


Density readings, ordered: 8.14 9.38 12.56 g/cm³